*one*
VASP calculation (PBE) on a relaxed structure of CsGeIr.

Structure (CIF):
```
data_CsGeIr
_chemical_formula_sum 'Cs4 Ge4 Ir4'
_space_group_name_H-M_alt 'F -4 3 m'
_space_group_IT_number 216
_space_group_name_Hall 'F -4 2 3'
_cell_length_a 6.8441
_cell_length_b 6.8441
_cell_length_c 6.8441
_cell_angle_alpha 90.00
_cell_angle_beta 90.00
_cell_angle_gamma 90.00
loop_
_atom_site_label
_atom_site_type_symbol
_atom_site_fract_x
_atom_site_fract_y
_atom_site_fract_z
Cs1 Cs 0.0000 0.0000 0.0000
Ge1 Ge 0.0000 0.0000 0.5000
Ir1 Ir 0.2500 0.2500 0.2500
```

***

*two*
VASP calculation (PBE) on a relaxed structure of CsGeIr.

Structure (CIF):
```
data_CsGeIr
_chemical_formula_sum 'Cs2 Ge2 Ir2'
_space_group_name_H-M_alt 'P 4/n m m'
_space_group_IT_number 129
_cell_length_a 4.1952
_cell_length_b 4.1952
_cell_length_c 12.3759
_cell_angle_alpha 90.00
_cell_angle_beta 90.00
_cell_angle_gamma 90.00
loop_
_space_group_symop_operation_xyz
'x,y,z'
'-x,-y,-z'
'-y+1/2,x,z'
'y+1/2,-x,-z'
'-x+1/2,-y+1/2,z'
'x+1/2,y+1/2,-z'
'y,-x+1/2,z'
'-y,x+1/2,-z'
'x+1/2,-y,-z'
'-x+1/2,y,z'
'-y,-x,-z'
'y,x,z'
'-x,y+1/2,-z'
'x,-y+1/2,z'
'y+1/2,x+1/2,-z'
'-y+1/2,-x+1/2,z'
loop_
_atom_site_label
_atom_site_type_symbol
_atom_site_fract_x
_atom_site_fract_y
_atom_site_fract_z
Cs1 Cs 0.2500 0.2500 0.2284
Ge1 Ge 0.2500 0.2500 0.6072
Ir1 Ir 0.2500 0.7500 0.5000
```

***

What should be chosen as the most stable of them? Choose *two*.

***

*one*
VASP calculation (PBE) on a relaxed structure of CsLuGeS3.

Structure (CIF):
```
data_CsLuGeS3
_chemical_formula_sum 'Cs4 Lu4 Ge4 S12'
_space_group_name_H-M_alt 'C m c m'
_space_group_IT_number 63
_space_group_name_Hall '-C 2c 2'
_cell_length_a 3.8719
_cell_length_b 16.3557
_cell_length_c 11.1920
_cell_angle_alpha 90.00
_cell_angle_beta 90.00
_cell_angle_gamma 90.00
loop_
_atom_site_label
_atom_site_type_symbol
_atom_site_fract_x
_atom_site_fract_y
_atom_site_fract_z
Cs1 Cs 0.0000 0.2093 0.2500
Lu1 Lu 0.0000 0.5000 0.0000
Ge1 Ge 0.0000 0.0943 0.7500
S1 S 0.0000 0.1104 0.5155
S2 S 0.0000 0.4970 0.7500
```

***

*two*
VASP calculation (PBE) on a relaxed structure of CsLuGeS3.

Structure (CIF):
```
data_CsLuGeS3
_chemical_formula_sum 'Cs2 Lu2 Ge2 S6'
_space_group_name_H-M_alt 'P 1 21/m 1'
_space_group_IT_number 11
_space_group_name_Hall '-P 2yb'
_cell_length_a 8.8536
_cell_length_b 3.8950
_cell_length_c 11.0692
_cell_angle_alpha 90.00
_cell_angle_beta 112.52
_cell_angle_gamma 90.00
loop_
_atom_site_label
_atom_site_type_symbol
_atom_site_fract_x
_atom_site_fract_y
_atom_site_fract_z
Cs1 Cs 0.2300 0.2500 0.2711
Lu1 Lu 0.3687 0.7500 0.8486
Ge1 Ge 0.1337 0.2500 0.5656
S1 S 0.1344 0.2500 0.7765
S2 S 0.3239 0.7500 0.5914
S3 S 0.4096 0.7500 0.0983
```

***

What should be chosen as the most stable of them? Choose *two*.

***

*one*
VASP calculation (PBE) on a relaxed structure of CsGeMo.

Structure (CIF):
```
data_CsGeMo
_chemical_formula_sum 'Cs4 Ge4 Mo4'
_space_group_name_H-M_alt 'F -4 3 m'
_space_group_IT_number 216
_space_group_name_Hall 'F -4 2 3'
_cell_length_a 7.0922
_cell_length_b 7.0922
_cell_length_c 7.0922
_cell_angle_alpha 90.00
_cell_angle_beta 90.00
_cell_angle_gamma 90.00
loop_
_atom_site_label
_atom_site_type_symbol
_atom_site_fract_x
_atom_site_fract_y
_atom_site_fract_z
Cs1 Cs 0.0000 0.0000 0.0000
Ge1 Ge 0.0000 0.0000 0.5000
Mo1 Mo 0.2500 0.2500 0.2500
```

***

*two*
VASP calculation (PBE) on a relaxed structure of CsGeMo.

Structure (CIF):
```
data_CsGeMo
_chemical_formula_sum 'Cs4 Ge4 Mo4'
_space_group_name_H-M_alt 'F -4 3 m'
_space_group_IT_number 216
_space_group_name_Hall 'F -4 2 3'
_cell_length_a 7.6752
_cell_length_b 7.6752
_cell_length_c 7.6752
_cell_angle_alpha 90.00
_cell_angle_beta 90.00
_cell_angle_gamma 90.00
loop_
_atom_site_label
_atom_site_type_symbol
_atom_site_fract_x
_atom_site_fract_y
_atom_site_fract_z
Cs1 Cs 0.0000 0.0000 0.0000
Ge1 Ge 0.2500 0.2500 0.7500
Mo1 Mo 0.2500 0.2500 0.2500
```

***

*three*
VASP calculation (PBE) on a relaxed structure of CsGeMo.

Structure (CIF):
```
data_CsGeMo
_chemical_formula_sum 'Cs4 Ge4 Mo4'
_space_group_name_H-M_alt 'F -4 3 m'
_space_group_IT_number 216
_space_group_name_Hall 'F -4 2 3'
_cell_length_a 7.3509
_cell_length_b 7.3509
_cell_length_c 7.3509
_cell_angle_alpha 90.00
_cell_angle_beta 90.00
_cell_angle_gamma 90.00
loop_
_atom_site_label
_atom_site_type_symbol
_atom_site_fract_x
_atom_site_fract_y
_atom_site_fract_z
Cs1 Cs 0.0000 0.0000 0.0000
Ge1 Ge 0.2500 0.2500 0.2500
Mo1 Mo 0.0000 0.0000 0.5000
```

***

What should be chosen as the most stable of them? Choose *one*.

***

*one*
VASP calculation (PBE) on a relaxed structure of CsReGe.

Structure (CIF):
```
data_CsReGe
_chemical_formula_sum 'Cs4 Re4 Ge4'
_space_group_name_H-M_alt 'F -4 3 m'
_space_group_IT_number 216
_space_group_name_Hall 'F -4 2 3'
_cell_length_a 7.5141
_cell_length_b 7.5141
_cell_length_c 7.5141
_cell_angle_alpha 90.00
_cell_angle_beta 90.00
_cell_angle_gamma 90.00
loop_
_atom_site_label
_atom_site_type_symbol
_atom_site_fract_x
_atom_site_fract_y
_atom_site_fract_z
Cs1 Cs 0.0000 0.0000 0.0000
Re1 Re 0.2500 0.2500 0.2500
Ge1 Ge 0.2500 0.2500 0.7500
```

***

*two*
VASP calculation (PBE) on a relaxed structure of CsReGe.

Structure (CIF):
```
data_CsReGe
_chemical_formula_sum 'Cs4 Re4 Ge4'
_space_group_name_H-M_alt 'F -4 3 m'
_space_group_IT_number 216
_space_group_name_Hall 'F -4 2 3'
_cell_length_a 7.1292
_cell_length_b 7.1292
_cell_length_c 7.1292
_cell_angle_alpha 90.00
_cell_angle_beta 90.00
_cell_angle_gamma 90.00
loop_
_atom_site_label
_atom_site_type_symbol
_atom_site_fract_x
_atom_site_fract_y
_atom_site_fract_z
Cs1 Cs 0.0000 0.0000 0.0000
Re1 Re 0.0000 0.0000 0.5000
Ge1 Ge 0.2500 0.2500 0.2500
```

***

What should be chosen as the most stable of them? Choose *two*.

***

*one*
VASP calculation (PBE) on a relaxed structure of CsTaGe.

Structure (CIF):
```
data_CsTaGe
_chemical_formula_sum 'Cs4 Ta4 Ge4'
_space_group_name_H-M_alt 'F -4 3 m'
_space_group_IT_number 216
_space_group_name_Hall 'F -4 2 3'
_cell_length_a 7.1466
_cell_length_b 7.1466
_cell_length_c 7.1466
_cell_angle_alpha 90.00
_cell_angle_beta 90.00
_cell_angle_gamma 90.00
loop_
_atom_site_label
_atom_site_type_symbol
_atom_site_fract_x
_atom_site_fract_y
_atom_site_fract_z
Cs1 Cs 0.0000 0.0000 0.0000
Ta1 Ta 0.0000 0.0000 0.5000
Ge1 Ge 0.2500 0.2500 0.2500
```

***

*two*
VASP calculation (PBE) on a relaxed structure of CsTaGe.

Structure (CIF):
```
data_CsTaGe
_chemical_formula_sum 'Cs4 Ta4 Ge4'
_space_group_name_H-M_alt 'F -4 3 m'
_space_group_IT_number 216
_space_group_name_Hall 'F -4 2 3'
_cell_length_a 7.2565
_cell_length_b 7.2565
_cell_length_c 7.2565
_cell_angle_alpha 90.00
_cell_angle_beta 90.00
_cell_angle_gamma 90.00
loop_
_atom_site_label
_atom_site_type_symbol
_atom_site_fract_x
_atom_site_fract_y
_atom_site_fract_z
Cs1 Cs 0.0000 0.0000 0.0000
Ta1 Ta 0.2500 0.2500 0.2500
Ge1 Ge 0.2500 0.2500 0.7500
```

***

What should be chosen as the most stable of them? Choose *one*.

***

*one*
VASP calculation (PBE) on a relaxed structure of CsTmGe.

Structure (CIF):
```
data_CsTmGe
_chemical_formula_sum 'Cs4 Tm4 Ge4'
_space_group_name_H-M_alt 'F -4 3 m'
_space_group_IT_number 216
_space_group_name_Hall 'F -4 2 3'
_cell_length_a 7.6378
_cell_length_b 7.6378
_cell_length_c 7.6378
_cell_angle_alpha 90.00
_cell_angle_beta 90.00
_cell_angle_gamma 90.00
loop_
_atom_site_label
_atom_site_type_symbol
_atom_site_fract_x
_atom_site_fract_y
_atom_site_fract_z
Cs1 Cs 0.0000 0.0000 0.0000
Tm1 Tm 0.0000 0.0000 0.5000
Ge1 Ge 0.2500 0.2500 0.2500
```

***

*two*
VASP calculation (PBE) on a relaxed structure of CsTmGe.

Structure (CIF):
```
data_CsTmGe
_chemical_formula_sum 'Cs4 Tm4 Ge4'
_space_group_name_H-M_alt 'F -4 3 m'
_space_group_IT_number 216
_space_group_name_Hall 'F -4 2 3'
_cell_length_a 7.4249
_cell_length_b 7.4249
_cell_length_c 7.4249
_cell_angle_alpha 90.00
_cell_angle_beta 90.00
_cell_angle_gamma 90.00
loop_
_atom_site_label
_atom_site_type_symbol
_atom_site_fract_x
_atom_site_fract_y
_atom_site_fract_z
Cs1 Cs 0.0000 0.0000 0.0000
Tm1 Tm 0.2500 0.2500 0.2500
Ge1 Ge 0.2500 0.2500 0.7500
```

***

What should be chosen as the most stable of them? Choose *one*.

***

*one*
VASP calculation (PBE) on a relaxed structure of CsGeW.

Structure (CIF):
```
data_CsGeW
_chemical_formula_sum 'Cs4 Ge4 W4'
_space_group_name_H-M_alt 'F -4 3 m'
_space_group_IT_number 216
_space_group_name_Hall 'F -4 2 3'
_cell_length_a 7.2402
_cell_length_b 7.2402
_cell_length_c 7.2402
_cell_angle_alpha 90.00
_cell_angle_beta 90.00
_cell_angle_gamma 90.00
loop_
_atom_site_label
_atom_site_type_symbol
_atom_site_fract_x
_atom_site_fract_y
_atom_site_fract_z
Cs1 Cs 0.0000 0.0000 0.0000
Ge1 Ge 0.2500 0.2500 0.2500
W1 W 0.0000 0.0000 0.5000
```

***

*two*
VASP calculation (PBE) on a relaxed structure of CsGeW.

Structure (CIF):
```
data_CsGeW
_chemical_formula_sum 'Cs4 Ge4 W4'
_space_group_name_H-M_alt 'F -4 3 m'
_space_group_IT_number 216
_space_group_name_Hall 'F -4 2 3'
_cell_length_a 6.7368
_cell_length_b 6.7368
_cell_length_c 6.7368
_cell_angle_alpha 90.00
_cell_angle_beta 90.00
_cell_angle_gamma 90.00
loop_
_atom_site_label
_atom_site_type_symbol
_atom_site_fract_x
_atom_site_fract_y
_atom_site_fract_z
Cs1 Cs 0.0000 0.0000 0.0000
Ge1 Ge 0.0000 0.0000 0.5000
W1 W 0.2500 0.2500 0.2500
```

***

What should be chosen as the most stable of them? Choose *two*.

***

*one*
VASP calculation (PBE) on a relaxed structure of CsNbH2O4.

Structure (CIF):
```
data_CsNbH2O4
_chemical_formula_sum 'Cs4 Nb4 H8 O16'
_space_group_name_H-M_alt 'P 1 21/c 1'
_space_group_IT_number 14
_space_group_name_Hall '-P 2ybc'
_cell_length_a 5.1930
_cell_length_b 6.3685
_cell_length_c 16.0386
_cell_angle_alpha 90.00
_cell_angle_beta 108.35
_cell_angle_gamma 90.00
loop_
_atom_site_label
_atom_site_type_symbol
_atom_site_fract_x
_atom_site_fract_y
_atom_site_fract_z
Cs1 Cs 0.2408 0.2485 0.3689
Nb1 Nb 0.2492 0.2433 0.1162
H1 H 0.2458 0.7418 0.4631
H2 H 0.4576 0.5013 0.2416
O1 O 0.0746 0.7477 0.9835
O2 O 0.2686 0.0166 0.1882
O3 O 0.2753 0.0163 0.6917
O4 O 0.4587 0.7346 0.4235
```

***

*two*
VASP calculation (PBE) on a relaxed structure of CsNbH2O4.

Structure (CIF):
```
data_CsNbH2O4
_chemical_formula_sum 'Cs4 Nb4 H8 O16'
_space_group_name_H-M_alt 'I -4 2 d'
_space_group_IT_number 122
_space_group_name_Hall 'I -4 2bw'
_cell_length_a 7.8171
_cell_length_b 7.8171
_cell_length_c 9.7722
_cell_angle_alpha 90.00
_cell_angle_beta 90.00
_cell_angle_gamma 90.00
loop_
_atom_site_label
_atom_site_type_symbol
_atom_site_fract_x
_atom_site_fract_y
_atom_site_fract_z
Cs1 Cs 0.0000 0.0000 0.0000
Nb1 Nb 0.0000 0.0000 0.5000
H1 H 0.0000 0.0000 0.3068
O1 O 0.0018 0.6569 0.8973
```

***

*three*
VASP calculation (PBE) on a relaxed structure of CsNbH2O4.

Structure (CIF):
```
data_CsNbH2O4
_chemical_formula_sum 'Cs8 Nb8 H16 O32'
_space_group_name_H-M_alt 'F d d 2'
_space_group_IT_number 43
_space_group_name_Hall 'F 2 -2d'
_cell_length_a 11.3189
_cell_length_b 11.8346
_cell_length_c 7.8752
_cell_angle_alpha 90.00
_cell_angle_beta 90.00
_cell_angle_gamma 90.00
loop_
_atom_site_label
_atom_site_type_symbol
_atom_site_fract_x
_atom_site_fract_y
_atom_site_fract_z
Cs1 Cs 0.0000 0.0000 0.0000
Nb1 Nb 0.0000 0.0000 0.5095
H1 H 0.0503 0.2237 0.6229
O1 O 0.0331 0.3786 0.1437
O2 O 0.1148 0.2849 0.6181
```

***

*four*
VASP calculation (PBE) on a relaxed structure of CsNbH2O4.

Structure (CIF):
```
data_CsNbH2O4
_chemical_formula_sum 'Cs2 Nb2 H4 O8'
_space_group_name_H-M_alt 'P 1 21/m 1'
_space_group_IT_number 11
_space_group_name_Hall '-P 2yb'
_cell_length_a 5.1249
_cell_length_b 6.3767
_cell_length_c 7.8455
_cell_angle_alpha 90.00
_cell_angle_beta 106.95
_cell_angle_gamma 90.00
loop_
_atom_site_label
_atom_site_type_symbol
_atom_site_fract_x
_atom_site_fract_y
_atom_site_fract_z
Cs1 Cs 0.0084 0.2500 0.2671
Nb1 Nb 0.4781 0.7500 0.2296
H1 H 0.1854 0.2500 0.9332
H2 H 0.5000 0.0000 0.5000
O1 O 0.1068 0.7500 0.1601
O2 O 0.3966 0.2500 0.9798
O3 O 0.3998 0.0191 0.6204
```

***

What should be chosen as the most stable of them? Choose *three*.